## one
! SrBeB3 PBE-GGA optimized geometry; values from VASP
! - SG = Pm-3m
! - magnetic moment (Bohr magnetons per cell) = 0.00
&SYSTEM
  ibrav = 0, nat = 5, ntyp = 3
/
ATOMIC_SPECIES
Sr 87.62 Sr.upf
Be 9.01 Be.upf
B 10.81 B.upf
CELL_PARAMETERS angstrom
4.853 0.000 0.000
0.000 4.853 0.000
0.000 0.000 4.853
ATOMIC_POSITIONS crystal
Sr 0.000 0.000 0.000
Be 0.500 0.500 0.500
B 0.000 0.000 0.500
B 0.000 0.500 0.000
B 0.500 0.000 0.000

=====

## two
! SrBeB3 PBE-GGA optimized geometry; values from VASP
! - SG = Pm-3m
! - magnetic moment (Bohr magnetons per cell) = 0.00
&SYSTEM
  ibrav = 0, nat = 5, ntyp = 3
/
ATOMIC_SPECIES
Sr 87.62 Sr.upf
Be 9.01 Be.upf
B 10.81 B.upf
CELL_PARAMETERS angstrom
4.001 0.000 0.000
0.000 4.001 0.000
0.000 0.000 4.001
ATOMIC_POSITIONS crystal
Sr 0.000 0.000 0.000
Be 0.500 0.500 0.500
B 0.000 0.500 0.500
B 0.500 0.000 0.500
B 0.500 0.500 0.000

=====

The calculated energies rank the structures as follows, beginning with the most stable: two, one.

=====

## one
! Ta2Be3B2 PBE-GGA optimized geometry; values from VASP
! - SG = C2/m
! - magnetic moment (Bohr magnetons per cell) = 0.00
&SYSTEM
  ibrav = 0, nat = 7, ntyp = 3
/
ATOMIC_SPECIES
Ta 180.95 Ta.upf
Be 9.01 Be.upf
B 10.81 B.upf
CELL_PARAMETERS angstrom
4.201 -1.627 0.000
4.201 1.627 0.000
-1.019 0.000 5.218
ATOMIC_POSITIONS crystal
Ta 0.126 0.126 0.345
Ta 0.874 0.874 0.655
Be 0.183 0.183 0.856
Be 0.500 0.500 0.000
Be 0.817 0.817 0.144
B 0.421 0.421 0.353
B 0.579 0.579 0.647

=====

## two
! Ta2Be3B2 PBE-GGA optimized geometry; values from VASP
! - SG = Cmcm
! - magnetic moment (Bohr magnetons per cell) = 0.00
&SYSTEM
  ibrav = 0, nat = 14, ntyp = 3
/
ATOMIC_SPECIES
Ta 180.95 Ta.upf
Be 9.01 Be.upf
B 10.81 B.upf
CELL_PARAMETERS angstrom
1.648 -7.613 0.000
1.648 7.613 0.000
0.000 0.000 5.555
ATOMIC_POSITIONS crystal
Ta 0.054 0.946 0.750
Ta 0.165 0.835 0.250
Ta 0.835 0.165 0.750
Ta 0.946 0.054 0.250
Be 0.213 0.787 0.750
Be 0.441 0.559 0.578
Be 0.441 0.559 0.922
Be 0.559 0.441 0.078
Be 0.559 0.441 0.422
Be 0.787 0.213 0.250
B 0.335 0.665 0.095
B 0.335 0.665 0.405
B 0.665 0.335 0.595
B 0.665 0.335 0.905

=====

The calculated energies rank the structures as follows, beginning with the most stable: one, two.